# 1
# ThTiPd6 | the Alexandria database | PBE | relaxed
data_ThTiPd6
_cell_length_a 4.102
_cell_length_b 4.102
_cell_length_c 8.065
_cell_angle_alpha 90.00
_cell_angle_beta 90.00
_cell_angle_gamma 90.00
_space_group_name_H-M_alt 'P 4/m m m'
_space_group_IT_number 123
_space_group_name_Hall '-P 4 2'
loop_
_atom_site_label
_atom_site_fract_x
_atom_site_fract_y
_atom_site_fract_z
_atom_site_occupancy
Th1 0.000 0.000 0.000 1
Ti1 0.000 0.000 0.500 1
Pd1 0.000 0.500 0.267 1
Pd2 0.500 0.500 0.000 1
Pd3 0.500 0.500 0.500 1
# DOS at the Fermi energy, states/eV per cell: 2.871
# Formation energy, eV/atom: -0.751


# 2
# TaRe2Ag | the Alexandria database | PBE | relaxed
data_TaRe2Ag
_cell_length_a 3.167
_cell_length_b 4.480
_cell_length_c 9.262
_cell_angle_alpha 90.00
_cell_angle_beta 90.00
_cell_angle_gamma 90.00
_space_group_name_H-M_alt 'C m m m'
_space_group_IT_number 65
_space_group_name_Hall '-C 2 2'
loop_
_atom_site_label
_atom_site_fract_x
_atom_site_fract_y
_atom_site_fract_z
_atom_site_occupancy
Ta1 0.000 0.000 0.000 1
Re1 0.000 0.500 0.238 1
Ag1 0.000 0.000 0.500 1
# DOS at the Fermi energy, states/eV per cell: 3.893
# Polymorph energy (0 for the lowest one), meV per atom: 0.0
# Formation energy, eV/atom: 0.233


# 3
# Tb4DyEr4 | the Alexandria database | PBE | relaxed
data_Tb4DyEr4
_cell_length_a 10.588
_cell_length_b 10.588
_cell_length_c 4.979
_cell_angle_alpha 90.00
_cell_angle_beta 90.00
_cell_angle_gamma 90.00
_space_group_name_H-M_alt 'I 4/m m m'
_space_group_IT_number 139
_space_group_name_Hall '-I 4 2'
loop_
_atom_site_label
_atom_site_fract_x
_atom_site_fract_y
_atom_site_fract_z
_atom_site_occupancy
Tb1 0.000 0.333 0.000 1
Dy1 0.000 0.000 0.000 1
Er1 0.167 0.167 0.500 1
# DOS at the Fermi energy, states/eV per cell: 25.389
# Formation energy, eV/atom: 0.020


# 4
# NiAs6Rh | the Alexandria database | PBE | relaxed
data_NiAs6Rh
_cell_length_a 12.001
_cell_length_b 8.505
_cell_length_c 8.503
_cell_angle_alpha 90.00
_cell_angle_beta 134.86
_cell_angle_gamma 90.00
_space_group_name_H-M_alt 'C 1 2/m 1'
_space_group_IT_number 12
loop_
_space_group_symop_operation_xyz
'x,y,z'
'-x,-y,-z'
'-x,y,-z'
'x,-y,z'
'x+1/2,y+1/2,z'
'-x+1/2,-y+1/2,-z'
'-x+1/2,y+1/2,-z'
'x+1/2,-y+1/2,z'
loop_
_atom_site_label
_atom_site_fract_x
_atom_site_fract_y
_atom_site_fract_z
_atom_site_occupancy
Ni1 0.250 0.250 0.000 1
As1 0.004 0.149 0.852 1
As2 0.149 0.348 0.653 1
As3 0.149 0.500 0.294 1
As4 0.155 0.500 0.002 1
Rh1 0.250 0.250 0.500 1
# DOS at the Fermi energy, states/eV per cell: 11.977
# Formation energy, eV/atom: -0.301